Below is an optimized crystal structure of SrHfGa2Pd, with properties calculated at the GGA-PBE level.

Cell lengths 4.9197, 4.9197, 5.1619 Å; angles 90.00, 90.00, 90.00 degrees
Sites, in units of the cell vectors:
Sr1 0.0000 0.0000 0.0000
Hf1 0.5000 0.5000 0.0000
Ga1 0.0000 0.5000 0.5000
Ga2 0.5000 0.0000 0.5000
Pd1 0.5000 0.5000 0.5000

As for the symmetry: No. 123. The value obtained for the electronic total energy is -22.698 eV for the cell shown. The calculation puts the total moment at 0.9 Bohr magnetons per cell. The calculation puts the theoretical density at 6.80 g cm⁻³.